No. 1
{"formula": "SrLi2Ag", "functional": "PBE-GGA", "state": "relaxed", "n_ef_per_ev_cell": 2.264, "e_tot_ev_per_atom": -2.172, "m_tot_mub_per_fu": 0.000, "crystal_system": "orthorhombic", "lattice_angstrom": [[-1.894, 2.660, 5.181], [1.894, -2.660, 5.181], [1.894, 2.660, -5.181]], "species": ["Sr", "Li", "Li", "Ag"], "fractional_positions": [[0.000, 0.000, 0.000], [0.293, 0.793, 0.500], [0.707, 0.207, 0.500], [0.500, 0.500, 0.000]]}



No. 2
{"formula": "La2MgScO", "functional": "PBE-GGA", "state": "relaxed", "n_ef_per_ev_cell": 4.665, "formation_energy_uncorrected_ev_per_atom": -1.2227, "m_tot_mub_per_fu": 0.000, "crystal_system": "tetragonal", "lattice_angstrom": [[5.360, 0.000, 0.000], [0.000, 5.360, 0.000], [0.000, 0.000, 4.225]], "species": ["La", "La", "Mg", "Sc", "O"], "fractional_positions": [[0.000, 0.500, 0.000], [0.500, 0.000, 0.000], [0.000, 0.000, 0.500], [0.500, 0.500, 0.500], [0.500, 0.500, 0.000]]}



No. 3
{"formula": "NdMgCdRu", "functional": "PBE-GGA", "state": "relaxed", "n_ef_per_ev_cell": 3.394, "e_tot_ev_per_atom": -4.152, "m_tot_mub_per_fu": 0.000, "crystal_system": "cubic", "lattice_angstrom": [[0.000, 3.508, 3.508], [3.508, 0.000, 3.508], [3.508, 3.508, 0.000]], "species": ["Nd", "Mg", "Cd", "Ru"], "fractional_positions": [[0.000, 0.000, 0.000], [0.500, 0.500, 0.500], [0.250, 0.250, 0.250], [0.750, 0.750, 0.750]]}



No. 4
{"formula": "AcPuUO6", "functional": "PBE-GGA", "state": "relaxed", "n_ef_per_ev_cell": 17.831, "formation_energy_uncorrected_ev_per_atom": -3.0955, "m_tot_mub_per_fu": 5.001, "crystal_system": "trigonal", "lattice_angstrom": [[6.113, 0.000, 0.000], [-3.057, 5.294, 0.000], [0.000, 0.000, 9.063]], "species": ["Ac", "Ac", "Pu", "Pu", "U", "U", "O", "O", "O", "O", "O", "O", "O", "O", "O", "O", "O", "O"], "fractional_positions": [[0.333, 0.667, 0.250], [0.667, 0.333, 0.750], [0.000, 0.000, 0.000], [0.000, 0.000, 0.500], [0.333, 0.667, 0.750], [0.667, 0.333, 0.250], [0.049, 0.358, 0.627], [0.049, 0.691, 0.873], [0.309, 0.358, 0.873], [0.309, 0.951, 0.627], [0.358, 0.049, 0.127], [0.358, 0.309, 0.373], [0.642, 0.691, 0.627], [0.642, 0.951, 0.873], [0.691, 0.049, 0.373], [0.691, 0.642, 0.127], [0.951, 0.309, 0.127], [0.951, 0.642, 0.373]]}



No. 5
{"formula": "Ca2SiIr", "functional": "PBE-GGA", "state": "relaxed", "n_ef_per_ev_cell": 2.261, "formation_energy_uncorrected_ev_per_atom": -0.1663, "m_tot_mub_per_fu": 0.000, "crystal_system": "orthorhombic", "lattice_angstrom": [[3.089, -4.135, 0.000], [3.089, 4.135, 0.000], [0.000, 0.000, 3.213]], "species": ["Ca", "Ca", "Si", "Ir"], "fractional_positions": [[0.000, 0.500, 0.000], [0.500, 0.000, 0.000], [0.000, 0.000, 0.500], [0.500, 0.500, 0.500]]}



No. 6
{"formula": "Dy12P3O5", "functional": "PBE-GGA", "state": "relaxed", "n_ef_per_ev_cell": 67.231, "formation_energy_uncorrected_ev_per_atom": -1.7741, "m_tot_mub_per_fu": 0.000, "crystal_system": "cubic", "lattice_angstrom": [[-7.508, 7.508, 7.508], [7.508, -7.508, 7.508], [7.508, 7.508, -7.508]], "species": ["Dy", "Dy", "Dy", "Dy", "Dy", "Dy", "Dy", "Dy", "Dy", "Dy", "Dy", "Dy", "Dy", "Dy", "Dy", "Dy", "Dy", "Dy", "Dy", "Dy", "Dy", "Dy", "Dy", "Dy", "Dy", "Dy", "Dy", "Dy", "Dy", "Dy", "Dy", "Dy", "Dy", "Dy", "Dy", "Dy", "Dy", "Dy", "Dy", "Dy", "Dy", "Dy", "Dy", "Dy", "Dy", "Dy", "Dy", "Dy", "P", "P", "P", "P", "P", "P", "P", "P", "P", "P", "P", "P", "O", "O", "O", "O", "O", "O", "O", "O", "O", "O", "O", "O", "O", "O", "O", "O", "O", "O", "O", "O"], "fractional_positions": [[0.020, 0.205, 0.116], [0.020, 0.314, 0.904], [0.090, 0.705, 0.686], [0.090, 0.884, 0.404], [0.096, 0.616, 0.410], [0.096, 0.980, 0.686], [0.116, 0.020, 0.205], [0.116, 0.596, 0.910], [0.186, 0.205, 0.590], [0.186, 0.480, 0.596], [0.205, 0.116, 0.020], [0.205, 0.590, 0.186], [0.295, 0.314, 0.910], [0.295, 0.480, 0.384], [0.314, 0.904, 0.020], [0.314, 0.910, 0.295], [0.384, 0.295, 0.480], [0.384, 0.590, 0.904], [0.404, 0.090, 0.884], [0.404, 0.814, 0.520], [0.410, 0.096, 0.616], [0.410, 0.814, 0.795], [0.480, 0.384, 0.295], [0.480, 0.596, 0.186], [0.520, 0.404, 0.814], [0.520, 0.616, 0.705], [0.590, 0.186, 0.205], [0.590, 0.904, 0.384], [0.596, 0.186, 0.480], [0.596, 0.910, 0.116], [0.616, 0.410, 0.096], [0.616, 0.705, 0.520], [0.686, 0.090, 0.705], [0.686, 0.096, 0.980], [0.705, 0.520, 0.616], [0.705, 0.686, 0.090], [0.795, 0.410, 0.814], [0.795, 0.884, 0.980], [0.814, 0.520, 0.404], [0.814, 0.795, 0.410], [0.884, 0.404, 0.090], [0.884, 0.980, 0.795], [0.904, 0.020, 0.314], [0.904, 0.384, 0.590], [0.910, 0.116, 0.596], [0.910, 0.295, 0.314], [0.980, 0.686, 0.096], [0.980, 0.795, 0.884], [0.125, 0.250, 0.375], [0.125, 0.375, 0.750], [0.250, 0.375, 0.125], [0.250, 0.875, 0.625], [0.375, 0.125, 0.250], [0.375, 0.750, 0.125], [0.625, 0.250, 0.875], [0.625, 0.875, 0.750], [0.750, 0.125, 0.375], [0.750, 0.625, 0.875], [0.875, 0.625, 0.250], [0.875, 0.750, 0.625], [0.000, 0.000, 0.000], [0.000, 0.000, 0.500], [0.000, 0.500, 0.000], [0.000, 0.500, 0.500], [0.125, 0.750, 0.875], [0.125, 0.875, 0.250], [0.250, 0.125, 0.875], [0.250, 0.625, 0.375], [0.375, 0.250, 0.625], [0.375, 0.625, 0.750], [0.500, 0.000, 0.000], [0.500, 0.000, 0.500], [0.500, 0.500, 0.000], [0.500, 0.500, 0.500], [0.625, 0.375, 0.250], [0.625, 0.750, 0.375], [0.750, 0.375, 0.625], [0.750, 0.875, 0.125], [0.875, 0.125, 0.750], [0.875, 0.250, 0.125]]}



No. 7
{"formula": "TbDy4Sc5", "functional": "PBE-GGA", "state": "relaxed", "n_ef_per_ev_cell": 14.460, "m_tot_mub_per_fu": 0.000, "relative_energy_kj_per_mol_atoms": 0.0, "crystal_system": "tetragonal", "lattice_angstrom": [[-5.073, 5.073, 2.807], [5.073, -5.073, 2.807], [5.073, 5.073, -2.807]], "species": ["Tb", "Dy", "Dy", "Dy", "Dy", "Sc", "Sc", "Sc", "Sc", "Sc"], "fractional_positions": [[0.000, 0.000, 0.000], [0.070, 0.748, 0.321], [0.427, 0.748, 0.679], [0.748, 0.070, 0.321], [0.748, 0.427, 0.679], [0.084, 0.084, 0.620], [0.084, 0.463, 0.000], [0.463, 0.084, 0.000], [0.463, 0.463, 0.380], [0.521, 0.521, 0.000]]}



No. 8
{"formula": "ZrInCu2", "functional": "PBE-GGA", "state": "relaxed", "n_ef_per_ev_cell": 1.763, "e_tot_ev_per_atom": -4.932, "m_tot_mub_per_fu": 0.000, "crystal_system": "monoclinic", "lattice_angstrom": [[3.053, 0.000, 0.000], [0.000, 3.391, 0.000], [-0.055, 0.000, 6.695]], "species": ["Zr", "In", "Cu", "Cu"], "fractional_positions": [[0.000, 0.000, 0.000], [0.000, 0.000, 0.500], [0.495, 0.500, 0.747], [0.505, 0.500, 0.253]]}



No. 9
{"formula": "KTaPb", "functional": "PBE-GGA", "state": "relaxed", "n_ef_per_ev_cell": 0.142, "m_tot_mub_per_fu": 0.000, "relative_energy_kj_per_mol_atoms": 0.0, "crystal_system": "orthorhombic", "lattice_angstrom": [[0.000, 2.209, 8.342], [2.180, 0.000, 8.342], [2.180, 2.209, 0.000]], "species": ["K", "Ta", "Pb"], "fractional_positions": [[0.000, 0.000, 0.000], [0.685, 0.685, 0.315], [0.320, 0.320, 0.680]]}



No. 10
{"formula": "Er2Si12Pt7", "functional": "PBE-GGA", "state": "relaxed", "n_ef_per_ev_cell": 3.680, "formation_energy_uncorrected_ev_per_atom": -0.5896, "m_tot_mub_per_fu": 0.000, "crystal_system": "trigonal", "lattice_angstrom": [[10.068, 0.000, 0.000], [-5.034, 8.719, 0.000], [0.000, 0.000, 3.917]], "species": ["Er", "Er", "Si", "Si", "Si", "Si", "Si", "Si", "Si", "Si", "Si", "Si", "Si", "Si", "Pt", "Pt", "Pt", "Pt", "Pt", "Pt", "Pt"], "fractional_positions": [[0.333, 0.667, 0.280], [0.667, 0.333, 0.720], [0.064, 0.623, 0.732], [0.114, 0.848, 0.284], [0.152, 0.267, 0.284], [0.267, 0.114, 0.716], [0.377, 0.442, 0.732], [0.442, 0.064, 0.268], [0.558, 0.936, 0.732], [0.623, 0.558, 0.268], [0.733, 0.886, 0.284], [0.848, 0.733, 0.716], [0.886, 0.152, 0.716], [0.936, 0.377, 0.268], [0.000, 0.000, 0.500], [0.115, 0.408, 0.805], [0.293, 0.885, 0.805], [0.408, 0.293, 0.195], [0.592, 0.707, 0.805], [0.707, 0.115, 0.195], [0.885, 0.592, 0.195]]}